1.
# BaAg2IrCl8 | the Alexandria database | PBE-GGA | optimized geometry
# **Formation energy without anion corrections**: -936.0 meV/atom
# **Energy**: -42.49 eV/cell
# **Magnetization**: 0.01 Bohr magnetons per cell
data_BaAg2IrCl8
_chemical_formula_sum 'Ba1 Ag2 Ir1 Cl8'
_symmetry_space_group_name_H-M 'P -1'
_symmetry_Int_Tables_number 2
_cell_length_a 6.1205
_cell_length_b 6.7701
_cell_length_c 8.5062
_cell_angle_alpha 91.60
_cell_angle_beta 92.19
_cell_angle_gamma 111.73
loop_
_symmetry_equiv_pos_as_xyz
'x,y,z'
'-x,-y,-z'
loop_
_atom_site_label
_atom_site_type_symbol
_atom_site_fract_x
_atom_site_fract_y
_atom_site_fract_z
Ba1 Ba 0.0000 0.0000 0.0000
Ag1 Ag 0.0066 0.4909 0.7521
Ir1 Ir 0.0000 0.0000 0.5000
Cl1 Cl 0.2128 0.7786 0.4799
Cl2 Cl 0.2358 0.2358 0.3213
Cl3 Cl 0.2602 0.2133 0.7058
Cl4 Cl 0.2758 0.7014 0.9842



2.
# K2BaAgCl5 | the Alexandria database | PBE-GGA | optimized geometry
# **Formation energy without anion corrections**: -1781.6 meV/atom
# **Energy**: -128.95 eV/cell
# **Magnetization**: 0.00 Bohr magnetons per cell
data_K2BaAgCl5
_chemical_formula_sum 'K8 Ba4 Ag4 Cl20'
_symmetry_space_group_name_H-M 'C m c 21'
_symmetry_Int_Tables_number 36
_cell_length_a 4.4887
_cell_length_b 18.8156
_cell_length_c 13.5032
_cell_angle_alpha 90.00
_cell_angle_beta 90.00
_cell_angle_gamma 90.00
loop_
_symmetry_equiv_pos_as_xyz
'x,y,z'
'-x,-y,z+1/2'
'-x,y,z'
'x,-y,z+1/2'
'x+1/2,y+1/2,z'
'-x+1/2,-y+1/2,z+1/2'
'-x+1/2,y+1/2,z'
'x+1/2,-y+1/2,z+1/2'
loop_
_atom_site_label
_atom_site_type_symbol
_atom_site_fract_x
_atom_site_fract_y
_atom_site_fract_z
K1 K 0.0000 0.1073 0.0000
K2 K 0.0000 0.1195 0.6196
Ba1 Ba 0.0000 0.2034 0.3193
Ag1 Ag 0.0000 0.4891 0.7812
Cl1 Cl 0.0000 0.0428 0.3672
Cl2 Cl 0.0000 0.2919 0.9753
Cl3 Cl 0.0000 0.2999 0.6657
Cl4 Cl 0.0000 0.3652 0.3195
Cl5 Cl 0.0000 0.4986 0.5939



3.
# KBaAg2Cl8 | the Alexandria database | PBE-GGA | optimized geometry
# **Formation energy without anion corrections**: -1069.7 meV/atom
# **Energy**: -72.67 eV/cell
# **Magnetization**: 1.27 Bohr magnetons per cell
data_KBaAg2Cl8
_chemical_formula_sum 'K2 Ba2 Ag4 Cl16'
_symmetry_space_group_name_H-M 'I -4'
_symmetry_Int_Tables_number 82
_cell_length_a 7.4200
_cell_length_b 7.4200
_cell_length_c 12.7872
_cell_angle_alpha 90.00
_cell_angle_beta 90.00
_cell_angle_gamma 90.00
loop_
_symmetry_equiv_pos_as_xyz
'x,y,z'
'y,-x,-z'
'-x,-y,z'
'-y,x,-z'
'x+1/2,y+1/2,z+1/2'
'y+1/2,-x+1/2,-z+1/2'
'-x+1/2,-y+1/2,z+1/2'
'-y+1/2,x+1/2,-z+1/2'
loop_
_atom_site_label
_atom_site_type_symbol
_atom_site_fract_x
_atom_site_fract_y
_atom_site_fract_z
K1 K 0.0000 0.0000 0.0000
Ba1 Ba 0.0000 0.5000 0.7500
Ag1 Ag 0.0000 0.0000 0.5000
Ag2 Ag 0.0000 0.5000 0.2500
Cl1 Cl 0.0503 0.3152 0.5168
Cl2 Cl 0.1167 0.8071 0.2268



4.
# BaLaAgCl6 | the Alexandria database | PBE-GGA | optimized geometry
# **Formation energy without anion corrections**: -1977.2 meV/atom
# **Energy**: -77.15 eV/cell
# **Magnetization**: 0.00 Bohr magnetons per cell
data_BaLaAgCl6
_chemical_formula_sum 'Ba2 La2 Ag2 Cl12'
_symmetry_space_group_name_H-M 'P -3 1 c'
_symmetry_Int_Tables_number 163
_symmetry_space_group_name_Hall '-P 3 2c'
_cell_length_a 7.1073
_cell_length_b 7.1073
_cell_length_c 13.7828
_cell_angle_alpha 90.00
_cell_angle_beta 90.00
_cell_angle_gamma 120.00
loop_
_atom_site_label
_atom_site_type_symbol
_atom_site_fract_x
_atom_site_fract_y
_atom_site_fract_z
Ba1 Ba 0.0000 0.0000 0.0000
La1 La 0.3333 0.6667 0.2500
Ag1 Ag 0.3333 0.6667 0.7500
Cl1 Cl 0.0007 0.3538 0.1335



5.
# Ba2LiAgCl6 | the Alexandria database | PBE-GGA | optimized geometry
# **Formation energy without anion corrections**: -1919.5 meV/atom
# **Energy**: -38.89 eV/cell
# **Magnetization**: 0.00 Bohr magnetons per cell
data_Ba2LiAgCl6
_chemical_formula_sum 'Ba2 Li1 Ag1 Cl6'
_symmetry_space_group_name_H-M 'P -1'
_symmetry_Int_Tables_number 2
_cell_length_a 7.0230
_cell_length_b 7.1720
_cell_length_c 7.3276
_cell_angle_alpha 93.22
_cell_angle_beta 117.61
_cell_angle_gamma 116.87
loop_
_symmetry_equiv_pos_as_xyz
'x,y,z'
'-x,-y,-z'
loop_
_atom_site_label
_atom_site_type_symbol
_atom_site_fract_x
_atom_site_fract_y
_atom_site_fract_z
Ba1 Ba 0.0118 0.2317 0.2784
Li1 Li 0.5000 0.0000 0.5000
Ag1 Ag 0.5000 0.5000 0.0000
Cl1 Cl 0.0236 0.7876 0.1547
Cl2 Cl 0.3721 0.6826 0.6646
Cl3 Cl 0.3880 0.1806 0.6928



6.
# BaLiAg2Cl8 | the Alexandria database | PBE-GGA | optimized geometry
# **Formation energy without anion corrections**: -967.0 meV/atom
# **Energy**: -71.83 eV/cell
# **Magnetization**: 1.82 Bohr magnetons per cell
data_BaLiAg2Cl8
_chemical_formula_sum 'Ba2 Li2 Ag4 Cl16'
_symmetry_space_group_name_H-M 'I -4'
_symmetry_Int_Tables_number 82
_cell_length_a 7.0973
_cell_length_b 7.0973
_cell_length_c 12.6987
_cell_angle_alpha 90.00
_cell_angle_beta 90.00
_cell_angle_gamma 90.00
loop_
_symmetry_equiv_pos_as_xyz
'x,y,z'
'y,-x,-z'
'-x,-y,z'
'-y,x,-z'
'x+1/2,y+1/2,z+1/2'
'y+1/2,-x+1/2,-z+1/2'
'-x+1/2,-y+1/2,z+1/2'
'-y+1/2,x+1/2,-z+1/2'
loop_
_atom_site_label
_atom_site_type_symbol
_atom_site_fract_x
_atom_site_fract_y
_atom_site_fract_z
Ba1 Ba 0.0000 0.0000 0.0000
Li1 Li 0.0000 0.5000 0.2500
Ag1 Ag 0.0000 0.0000 0.5000
Ag2 Ag 0.0000 0.5000 0.7500
Cl1 Cl 0.0758 0.3200 0.4789
Cl2 Cl 0.1587 0.8105 0.7795



7.
# BaMgAgCl6 | the Alexandria database | PBE-GGA | optimized geometry
# **Formation energy without anion corrections**: -1533.3 meV/atom
# **Energy**: -31.25 eV/cell
# **Magnetization**: 1.04 Bohr magnetons per cell
data_BaMgAgCl6
_chemical_formula_sum 'Ba1 Mg1 Ag1 Cl6'
_symmetry_space_group_name_H-M 'P 1'
_symmetry_Int_Tables_number 1
_cell_length_a 6.5910
_cell_length_b 6.5952
_cell_length_c 6.6925
_cell_angle_alpha 92.21
_cell_angle_beta 92.27
_cell_angle_gamma 115.20
loop_
_symmetry_equiv_pos_as_xyz
'x,y,z'
loop_
_atom_site_label
_atom_site_type_symbol
_atom_site_fract_x
_atom_site_fract_y
_atom_site_fract_z
Ba1 Ba 0.0000 0.0000 0.0000
Mg1 Mg 0.3315 0.6698 0.5006
Ag1 Ag 0.6742 0.3260 0.5003
Cl1 Cl 0.0225 0.3648 0.6964
Cl2 Cl 0.0329 0.6410 0.2585
Cl3 Cl 0.3607 0.9675 0.7434
Cl4 Cl 0.3851 0.3744 0.2775
Cl5 Cl 0.6255 0.6142 0.7237
Cl6 Cl 0.6362 0.9779 0.3049



8.
# BaMnAgCl6 | the Alexandria database | PBE-GGA | optimized geometry
# **Formation energy without anion corrections**: -1305.0 meV/atom
# **Energy**: -73.54 eV/cell
# **Magnetization**: 8.00 Bohr magnetons per cell
data_BaMnAgCl6
_chemical_formula_sum 'Ba2 Mn2 Ag2 Cl12'
_symmetry_space_group_name_H-M 'P -3 1 c'
_symmetry_Int_Tables_number 163
_symmetry_space_group_name_Hall '-P 3 2c'
_cell_length_a 7.0479
_cell_length_b 7.0479
_cell_length_c 11.2850
_cell_angle_alpha 90.00
_cell_angle_beta 90.00
_cell_angle_gamma 120.00
loop_
_atom_site_label
_atom_site_type_symbol
_atom_site_fract_x
_atom_site_fract_y
_atom_site_fract_z
Ba1 Ba 0.3333 0.6667 0.2500
Mn1 Mn 0.3333 0.6667 0.7500
Ag1 Ag 0.0000 0.0000 0.0000
Cl1 Cl 0.0737 0.3737 0.6229



9.
# BaAgMoCl2 | the Alexandria database | PBE-GGA | optimized geometry
# **Formation energy without anion corrections**: 179.9 meV/atom
# **Energy**: -18.40 eV/cell
# **Magnetization**: 5.00 Bohr magnetons per cell
data_BaAgMoCl2
_chemical_formula_sum 'Ba1 Ag1 Mo1 Cl2'
_symmetry_space_group_name_H-M 'P 4/m m m'
_symmetry_Int_Tables_number 123
_symmetry_space_group_name_Hall '-P 4 2'
_cell_length_a 5.7882
_cell_length_b 5.7882
_cell_length_c 6.8033
_cell_angle_alpha 90.00
_cell_angle_beta 90.00
_cell_angle_gamma 90.00
loop_
_atom_site_label
_atom_site_type_symbol
_atom_site_fract_x
_atom_site_fract_y
_atom_site_fract_z
Ba1 Ba 0.0000 0.0000 0.0000
Ag1 Ag 0.0000 0.0000 0.5000
Mo1 Mo 0.5000 0.5000 0.5000
Cl1 Cl 0.0000 0.5000 0.0000



10.
# BaAgNCl2 | the Alexandria database | PBE-GGA | optimized geometry
# **Formation energy without anion corrections**: -362.2 meV/atom
# **Energy**: -18.60 eV/cell
# **Magnetization**: 2.00 Bohr magnetons per cell
data_BaAgNCl2
_chemical_formula_sum 'Ba1 Ag1 N1 Cl2'
_symmetry_space_group_name_H-M 'P 4/m m m'
_symmetry_Int_Tables_number 123
_symmetry_space_group_name_Hall '-P 4 2'
_cell_length_a 5.5691
_cell_length_b 5.5691
_cell_length_c 4.0691
_cell_angle_alpha 90.00
_cell_angle_beta 90.00
_cell_angle_gamma 90.00
loop_
_atom_site_label
_atom_site_type_symbol
_atom_site_fract_x
_atom_site_fract_y
_atom_site_fract_z
Ba1 Ba 0.0000 0.0000 0.0000
Ag1 Ag 0.5000 0.5000 0.0000
N1 N 0.5000 0.5000 0.5000
Cl1 Cl 0.0000 0.5000 0.5000



11.
# BaNaAgCl4 | the Alexandria database | PBE-GGA | optimized geometry
# **Formation energy without anion corrections**: -1653.9 meV/atom
# **Energy**: -50.11 eV/cell
# **Magnetization**: 0.00 Bohr magnetons per cell
data_BaNaAgCl4
_chemical_formula_sum 'Ba2 Na2 Ag2 Cl8'
_symmetry_space_group_name_H-M 'P 1 21/m 1'
_symmetry_Int_Tables_number 11
_cell_length_a 6.9985
_cell_length_b 7.0902
_cell_length_c 8.5461
_cell_angle_alpha 90.00
_cell_angle_beta 103.15
_cell_angle_gamma 90.00
loop_
_symmetry_equiv_pos_as_xyz
'x,y,z'
'-x,-y,-z'
'-x,y+1/2,-z'
'x,-y+1/2,z'
loop_
_atom_site_label
_atom_site_type_symbol
_atom_site_fract_x
_atom_site_fract_y
_atom_site_fract_z
Ba1 Ba 0.2356 0.2500 0.0690
Na1 Na 0.2567 0.2500 0.6092
Ag1 Ag 0.2322 0.7500 0.3501
Cl1 Cl 0.0375 0.5008 0.7645
Cl2 Cl 0.4333 0.7500 0.1145
Cl3 Cl 0.4978 0.2500 0.4034



12.
# Ba2NaAgCl6 | the Alexandria database | PBE-GGA | optimized geometry
# **Formation energy without anion corrections**: -1954.5 meV/atom
# **Energy**: -77.28 eV/cell
# **Magnetization**: 0.00 Bohr magnetons per cell
data_Ba2NaAgCl6
_chemical_formula_sum 'Ba4 Na2 Ag2 Cl12'
_symmetry_space_group_name_H-M 'P 1 21/c 1'
_symmetry_Int_Tables_number 14
_cell_length_a 7.0659
_cell_length_b 8.0565
_cell_length_c 12.2021
_cell_angle_alpha 90.00
_cell_angle_beta 124.69
_cell_angle_gamma 90.00
loop_
_symmetry_equiv_pos_as_xyz
'x,y,z'
'-x,-y,-z'
'-x,y+1/2,-z+1/2'
'x,-y+1/2,z+1/2'
loop_
_atom_site_label
_atom_site_type_symbol
_atom_site_fract_x
_atom_site_fract_y
_atom_site_fract_z
Ba1 Ba 0.2138 0.1048 0.2506
Na1 Na 0.5000 0.0000 0.0000
Ag1 Ag 0.0000 0.0000 0.5000
Cl1 Cl 0.1166 0.1760 0.9402
Cl2 Cl 0.2698 0.6853 0.9406
Cl3 Cl 0.3711 0.0372 0.7446



Q: Look up the energy of the twelfth one.
A: -77.28 eV/cell



Repeat the seventh record exactly.
# BaMgAgCl6 | the Alexandria database | PBE-GGA | optimized geometry
# **Formation energy without anion corrections**: -1533.3 meV/atom
# **Energy**: -31.25 eV/cell
# **Magnetization**: 1.04 Bohr magnetons per cell
data_BaMgAgCl6
_chemical_formula_sum 'Ba1 Mg1 Ag1 Cl6'
_symmetry_space_group_name_H-M 'P 1'
_symmetry_Int_Tables_number 1
_cell_length_a 6.5910
_cell_length_b 6.5952
_cell_length_c 6.6925
_cell_angle_alpha 92.21
_cell_angle_beta 92.27
_cell_angle_gamma 115.20
loop_
_symmetry_equiv_pos_as_xyz
'x,y,z'
loop_
_atom_site_label
_atom_site_type_symbol
_atom_site_fract_x
_atom_site_fract_y
_atom_site_fract_z
Ba1 Ba 0.0000 0.0000 0.0000
Mg1 Mg 0.3315 0.6698 0.5006
Ag1 Ag 0.6742 0.3260 0.5003
Cl1 Cl 0.0225 0.3648 0.6964
Cl2 Cl 0.0329 0.6410 0.2585
Cl3 Cl 0.3607 0.9675 0.7434
Cl4 Cl 0.3851 0.3744 0.2775
Cl5 Cl 0.6255 0.6142 0.7237
Cl6 Cl 0.6362 0.9779 0.3049